(1)
The following is a PBE-GGA calculation of a geometry-optimized Sr2CaIn12Pt3 structure, from Alexandria.

Values from the calculation:
formation energy from the elements: -0.18 eV per atom
V: 30.2 A^3/atom
SG: No. 166

Cell: 8.773 8.773 8.773 Å, 66.42 66.42 66.42°
Fractional positions:
Sr 0.084 0.084 0.084
Sr 0.916 0.916 0.916
Ca 0.500 0.500 0.500
In 0.046 0.668 0.668
In 0.227 0.227 0.645
In 0.227 0.645 0.227
In 0.332 0.332 0.954
In 0.332 0.954 0.332
In 0.355 0.773 0.773
In 0.645 0.227 0.227
In 0.668 0.046 0.668
In 0.668 0.668 0.046
In 0.773 0.355 0.773
In 0.773 0.773 0.355
In 0.954 0.332 0.332
Pt 0.000 0.500 0.500
Pt 0.500 0.000 0.500
Pt 0.500 0.500 0.000


(2)
The following is a PBE-GGA calculation of a geometry-optimized Ta2BeAl structure, from Alexandria.

Values from the calculation:
energy relative to the lowest polymorph listed for this composition: 0.2952 eV per atom
formation energy from the elements: 0.12 eV per atom
V: 15.4 A^3/atom
SG: No. 123

Cell: 4.702 4.702 2.778 Å, 90.00 90.00 90.00°
Fractional positions:
Ta 0.000 0.500 0.000
Ta 0.500 0.000 0.000
Be 0.000 0.000 0.500
Al 0.500 0.500 0.500


(3)
The following is a PBE-GGA calculation of a geometry-optimized Sc3Se structure, from Alexandria.

Values from the calculation:
energy relative to the elements, uncorrected: -0.4029 eV/atom
energy relative to the lowest polymorph listed for this composition: 0.3997 eV per atom
V: 21.5 A^3/atom
SG: No. 123

Cell: 4.957 4.957 3.495 Å, 90.00 90.00 90.00°
Fractional positions:
Sc 0.000 0.000 0.000
Sc 0.000 0.500 0.500
Sc 0.500 0.000 0.500
Se 0.500 0.500 0.000